The following is a PBE-GGA calculation of a relaxed La2ScS3 crystal, from Alexandria.

Total DFT energy (no corrections): -0.245 hartree per atom
DOS at the Fermi energy: 3.10 states/eV per cell
Raw formation energy: -1918 meV per atom
Magnetic moment: 0.000 Bohr magnetons per cell
Calculated density: 4.9 g cm⁻³

Cell: 3.8865 4.7691 8.3015 Å, 106.69 103.54 90.00°
Fractional positions:
S (0.8327, 0.8327, 0.6655)
S (0.0000, 0.5000, 0.0000)
S (0.1673, 0.1673, 0.3345)
La (0.6450, 0.6450, 0.2900)
La (0.3550, 0.3550, 0.7100)
Sc (0.0000, 0.0000, 0.0000)